(1)
Computed, not measured: a relaxed structure of As3Au2 at the PBE-GGA level of DFT.

abc: 3.716 3.716 25.199
angles: 90.00 90.00 120.00
Positions (direct):
As 0.000 0.000 0.000
As 0.000 0.000 0.197
As 0.000 0.000 0.803
As 0.333 0.667 0.469
As 0.333 0.667 0.667
As 0.333 0.667 0.864
As 0.667 0.333 0.136
As 0.667 0.333 0.333
As 0.667 0.333 0.531
Au 0.000 0.000 0.399
Au 0.000 0.000 0.601
Au 0.333 0.667 0.066
Au 0.333 0.667 0.267
Au 0.667 0.333 0.733
Au 0.667 0.333 0.934

Values from the calculation:
SG: R-3m, No. 166
Magnetic moment: 0.00 μB/f.u.
Electronic total energy: -4.016 eV/atom
Crystal system: trigonal
DFT formation energy: 0.084 eV per atom


(2)
Computed, not measured: a relaxed structure of TaInRu at the PBE-GGA level of DFT.

abc: 3.107 3.107 11.043
angles: 90.00 90.00 90.00
Positions (direct):
Ta 0.000 0.000 0.000
Ta 0.500 0.500 0.500
In 0.000 0.000 0.694
In 0.500 0.500 0.194
Ru 0.000 0.000 0.366
Ru 0.500 0.500 0.866

Values from the calculation:
SG: I4mm, No. 107
Magnetic moment: 0.00 μB/f.u.
Electronic total energy: -8.055 eV/atom
Crystal system: tetragonal
DFT formation energy: -0.099 eV per atom


(3)
Computed, not measured: a relaxed structure of TlPd14Au at the PBE-GGA level of DFT.

abc: 9.276 5.626 5.626
angles: 60.65 90.00 90.00
Positions (direct):
Tl 0.000 0.000 0.000
Pd 0.000 0.500 0.999
Pd 0.000 0.999 0.500
Pd 0.252 0.331 0.331
Pd 0.254 0.831 0.831
Pd 0.255 0.333 0.831
Pd 0.255 0.831 0.333
Pd 0.500 0.163 0.163
Pd 0.500 0.163 0.662
Pd 0.500 0.662 0.163
Pd 0.500 0.663 0.663
Pd 0.745 0.333 0.831
Pd 0.745 0.831 0.333
Pd 0.746 0.831 0.831
Pd 0.748 0.331 0.331
Au 0.000 0.500 0.500

Values from the calculation:
SG: Amm2, No. 38
Magnetic moment: 0.00 μB/f.u.
Electronic total energy: -4.922 eV/atom
Crystal system: orthorhombic
DFT formation energy: -0.026 eV per atom


(4)
Computed, not measured: a relaxed structure of PmEr2Sn at the PBE-GGA level of DFT.

abc: 4.833 4.833 4.806
angles: 90.00 90.00 90.00
Positions (direct):
Pm 0.000 0.000 0.000
Er 0.000 0.500 0.500
Er 0.500 0.000 0.500
Sn 0.500 0.500 0.000

Values from the calculation:
SG: P4/mmm, No. 123
Magnetic moment: 0.00 μB/f.u.
Electronic total energy: -4.883 eV/atom
Crystal system: tetragonal
DFT formation energy: -0.413 eV per atom
Energy above the most stable polymorph in this dataset: 5.9 meV per atom